This record from Alexandria via LeMat-Bulk describes Ta2SbOs after structural relaxation. The functional is PBE-GGA.

abc: 4.309 4.051 4.051
angles: 90.00 90.00 90.00
Fractional positions:
Os 0.500 0.500 0.000
Sb 0.500 0.000 0.500
Ta 0.000 0.000 0.000
Ta 0.000 0.500 0.500

## Properties
* space-group type: No. 123
* energy relative to the elements, uncorrected: 0.134 eV per atom



This record from Alexandria via LeMat-Bulk describes Ta2SbOs after structural relaxation. The functional is PBE-GGA.

abc: 4.641 4.641 4.641
angles: 60.00 60.00 60.00
Fractional positions:
Os 0.500 0.500 0.500
Sb 0.750 0.750 0.750
Ta 0.000 0.000 0.000
Ta 0.250 0.250 0.250

## Properties
* space-group type: No. 216
* energy relative to the elements, uncorrected: 0.268 eV per atom



This record from Alexandria via LeMat-Bulk describes TaSbOs2 after structural relaxation. The functional is PBE-GGA.

abc: 4.287 4.287 3.644
angles: 90.00 90.00 90.00
Fractional positions:
Os 0.000 0.000 0.000
Os 0.500 0.500 0.000
Sb 0.500 0.000 0.500
Ta 0.000 0.500 0.500

## Properties
* space-group type: No. 123
* energy relative to the elements, uncorrected: 0.248 eV per atom



- energy relative to the elements, uncorrected of number 2 (Ta2SbOs)?
  0.268 eV per atom



- Which value of energy relative to the elements, uncorrected does entry 1 give?
  0.134 eV per atom



- Among the records above, which one has the highest energy relative to the elements, uncorrected?
  number 2